Compound: CePmPu2Te5
Source: Alexandria
Functional: PBE-GGA
Structure: relaxed

The structure in POSCAR format:
```
CePmPu2Te5
1.0
5.650 0.000 0.000
0.000 5.650 0.000
0.000 0.000 11.800
Ce Pm Pu Te
1 1 2 5
Cartesian
0.000 0.000 0.000 Ce
0.000 0.000 5.900 Pm
2.825 2.825 1.956 Pu
2.825 2.825 9.844 Pu
0.000 0.000 2.990 Te
0.000 0.000 8.810 Te
0.000 2.825 0.000 Te
2.825 0.000 0.000 Te
2.825 2.825 5.900 Te
```

VASP energy ... -6.74 eV per atom
Formation energy without anion corrections ... -0.621 eV per atom
SG ... No. 123

Compound: CePmPuTl
Source: Alexandria
Functional: PBE-GGA
Structure: relaxed

The structure in POSCAR format:
```
CePmPuTl
1.0
0.000 3.828 3.828
3.828 0.000 3.828
3.828 3.828 0.000
Ce Pm Pu Tl
1 1 1 1
Cartesian
0.000 0.000 0.000 Ce
1.914 1.914 1.914 Pm
5.742 5.742 5.742 Pu
3.828 3.828 3.828 Tl
```

VASP energy ... -6.81 eV per atom
Formation energy from the elements ... 0.15 eV/f.u.
SG ... No. 216

Compound: CePmTmPu
Source: Alexandria
Functional: PBE-GGA
Structure: relaxed

The structure in POSCAR format:
```
CePmTmPu
1.0
0.000 3.928 3.928
3.928 0.000 3.928
3.928 3.928 0.000
Ce Pm Tm Pu
1 1 1 1
Cartesian
0.000 0.000 0.000 Ce
5.893 5.893 5.893 Pm
3.928 3.928 3.928 Tm
1.964 1.964 1.964 Pu
```

VASP energy ... -7.16 eV per atom
Formation energy from the elements ... 0.84 eV/f.u.
SG ... No. 216

Compound: CePmYPu
Source: Alexandria
Functional: PBE-GGA
Structure: relaxed

The structure in POSCAR format:
```
CePmYPu
1.0
0.000 3.957 3.957
3.957 0.000 3.957
3.957 3.957 0.000
Ce Pm Y Pu
1 1 1 1
Cartesian
0.000 0.000 0.000 Ce
1.978 1.978 1.978 Pm
3.957 3.957 3.957 Y
5.935 5.935 5.935 Pu
```

VASP energy ... -7.65 eV per atom
Formation energy from the elements ... 0.87 eV/f.u.
SG ... No. 216

Compound: CePmPuZn
Source: Alexandria
Functional: PBE-GGA
Structure: relaxed

The structure in POSCAR format:
```
CePmPuZn
1.0
0.000 3.656 3.656
3.656 0.000 3.656
3.656 3.656 0.000
Ce Pm Pu Zn
1 1 1 1
Cartesian
0.000 0.000 0.000 Ce
5.485 5.485 5.485 Pm
1.828 1.828 1.828 Pu
3.656 3.656 3.656 Zn
```

VASP energy ... -6.50 eV per atom
Formation energy from the elements ... 0.30 eV/f.u.
SG ... No. 216

Compound: Rb3Ce2PmS6
Source: Alexandria
Functional: PBE-GGA
Structure: relaxed

The structure in POSCAR format:
```
Rb3Ce2PmS6
1.0
3.665 -6.348 0.000
3.665 6.348 0.000
-2.443 0.000 7.684
Rb Ce Pm S
3 2 1 6
Cartesian
0.000 0.000 0.000 Rb
3.665 2.113 0.000 Rb
3.665 -2.113 0.000 Rb
2.443 4.231 3.842 Ce
2.443 -4.231 3.842 Ce
2.443 0.000 3.842 Pm
1.227 2.107 2.337 S
0.010 0.000 5.347 S
1.227 -2.107 2.337 S
3.660 2.107 5.347 S
4.876 0.000 2.337 S
3.660 -2.107 5.347 S
```

VASP energy ... -5.48 eV per atom
Formation energy without anion corrections ... -1.787 eV per atom
SG ... No. 12

Compound: Rb3CePm2S6
Source: Alexandria
Functional: PBE-GGA
Structure: relaxed

The structure in POSCAR format:
```
Rb3CePm2S6
1.0
3.650 -6.322 0.000
3.650 6.322 0.000
-2.433 0.000 7.696
Rb Ce Pm S
3 1 2 6
Cartesian
0.000 0.000 0.000 Rb
3.650 2.110 0.000 Rb
3.650 -2.110 0.000 Rb
2.434 0.000 3.848 Ce
2.434 4.215 3.848 Pm
2.434 -4.215 3.848 Pm
1.211 2.117 2.340 S
-0.011 0.000 5.356 S
1.211 -2.117 2.340 S
3.656 2.117 5.355 S
4.878 0.000 2.340 S
3.656 -2.117 5.355 S
```

VASP energy ... -5.40 eV per atom
Formation energy without anion corrections ... -1.810 eV per atom
SG ... No. 12

Compound: Rb3CePm3S8
Source: Alexandria
Functional: PBE-GGA
Structure: relaxed

The structure in POSCAR format:
```
Rb3CePm3S8
1.0
7.201 -4.157 0.000
7.201 4.157 0.000
-4.808 0.000 7.803
Rb Ce Pm S
3 1 3 8
Cartesian
0.000 0.000 0.000 Rb
3.601 2.078 0.000 Rb
3.601 -2.078 0.000 Rb
-2.404 0.000 3.902 Ce
1.197 2.078 3.902 Pm
1.197 -2.078 3.902 Pm
4.797 0.000 3.902 Pm
-0.071 0.000 5.368 S
3.631 2.137 5.368 S
5.963 2.137 2.436 S
2.397 0.000 2.382 S
7.198 0.000 5.422 S
3.631 -2.137 5.368 S
5.963 -2.137 2.436 S
9.665 0.000 2.435 S
```

VASP energy ... -5.57 eV per atom
Formation energy without anion corrections ... -1.831 eV per atom
SG ... No. 12

| no. | ρ (g/cm³) |
| --- | --- |
| 1 | 6.221 |
| 2 | 10.858 |
| 3 | 9.560 |
| 4 | 8.282 |
| 5 | 10.098 |
| 6 | 4.060 |
| 7 | 4.109 |
| 8 | 3.868 |